GaPPd5: relaxed, PBE.

Cell and atoms, written as POSCAR:
```
GaPPd5
1.0
4.881 -4.101 0.000
4.881 4.101 0.000
-4.431 0.000 6.042
Ga P Pd
2 2 10
direct
0.214 0.786 0.750
0.786 0.214 0.250
0.000 0.500 0.000
0.500 0.000 0.500
0.015 0.430 0.667
0.095 0.905 0.250
0.361 0.374 0.030
0.374 0.361 0.530
0.430 0.015 0.167
0.570 0.985 0.833
0.626 0.639 0.470
0.639 0.626 0.970
0.905 0.095 0.750
0.985 0.570 0.333
```

Output
Total moment in μB/atom: 0.000
Space-group type: C2/c (15)
DOS(E_F) in states/eV/cell: 5.78
DFT formation energy in eV/atom: -0.2472

BaCrTc: relaxed, PBE.

Cell and atoms, written as POSCAR:
```
BaCrTc
1.0
4.050 0.000 0.000
-2.025 3.507 0.000
0.000 0.000 5.478
Ba Cr Tc
1 1 1
direct
0.000 0.000 0.000
0.667 0.333 0.500
0.333 0.667 0.500
```

Output
Total moment in μB/atom: 0.598
Space-group type: P-6m2 (187)
DOS(E_F) in states/eV/cell: 3.79
DFT formation energy in eV/atom: 0.7331

RbCeI4: relaxed, PBE.

Cell and atoms, written as POSCAR:
```
RbCeI4
1.0
5.354 -7.776 0.000
5.354 7.776 0.000
-3.862 0.000 6.645
Rb Ce I
2 2 8
direct
0.135 0.865 0.750
0.865 0.135 0.250
0.500 0.500 0.250
0.500 0.500 0.750
0.166 0.295 0.812
0.234 0.554 0.426
0.295 0.166 0.312
0.446 0.766 0.074
0.554 0.234 0.926
0.705 0.834 0.688
0.766 0.446 0.574
0.834 0.705 0.188
```

Output
Total moment in μB/atom: 0.167
Space-group type: C2/c (15)
Formation energy without anion corrections in eV per formula unit: -8.24
DOS(E_F) in states/eV/cell: 12.14

HoLuMgCo: relaxed, PBE.

Cell and atoms, written as POSCAR:
```
HoLuMgCo
1.0
0.000 3.500 3.500
3.500 0.000 3.500
3.500 3.500 0.000
Ho Lu Mg Co
1 1 1 1
direct
0.000 0.000 0.000
0.500 0.500 0.500
0.250 0.250 0.250
0.750 0.750 0.750
```

Output
Total moment in μB/atom: 0.076
Space-group type: F-43m (216)
DOS(E_F) in states/eV/cell: 2.21
DFT formation energy in eV/atom: -0.0330

RbTcAgI2: relaxed, PBE.

Cell and atoms, written as POSCAR:
```
RbTcAgI2
1.0
6.723 0.000 0.000
0.000 6.723 0.000
0.000 0.000 6.395
Rb Tc Ag I
1 1 1 2
direct
0.000 0.000 0.000
0.000 0.000 0.500
0.500 0.500 0.500
0.000 0.500 0.000
0.500 0.000 0.000
```

Output
Total moment in μB/atom: 1.000
Space-group type: P4/mmm (123)
Formation energy without anion corrections in eV per formula unit: 6.15
DOS(E_F) in states/eV/cell: 3.76

Ta2FeRu: relaxed, PBE.

Cell and atoms, written as POSCAR:
```
Ta2FeRu
1.0
3.241 0.000 0.000
0.000 4.254 0.000
0.000 0.000 4.503
Ta Fe Ru
2 1 1
direct
0.000 0.000 0.000
0.500 0.000 0.500
0.000 0.500 0.500
0.500 0.500 0.000
```

Output
Total moment in μB/atom: 0.547
Space-group type: Pmmm (47)
DOS(E_F) in states/eV/cell: 3.13
DFT formation energy in eV/atom: -0.0750